(1)
First-principles (PBE-GGA) data for La2TbSm5 after structural relaxation, as listed in Alexandria via LeMat-Bulk.

Cell: 5.727 6.670 16.288 Å, 90.00 90.00 115.43°
Fractional coordinates of all 16 atoms:
1 Sm 0.921 0.842 0.591
2 Sm 0.383 0.766 0.449
3 Sm 0.537 0.075 0.250
4 Sm 0.921 0.842 0.909
5 Sm 0.617 0.234 0.551
6 Sm 0.079 0.158 0.091
7 Sm 0.463 0.925 0.750
8 Sm 0.383 0.766 0.051
9 Sm 0.617 0.234 0.949
10 Sm 0.079 0.158 0.409
11 La 0.219 0.438 0.871
12 La 0.781 0.562 0.371
13 La 0.781 0.562 0.129
14 La 0.219 0.438 0.629
15 Tb 0.741 0.482 0.750
16 Tb 0.259 0.518 0.250

spin magnetization: 0.000 μB per atom
DFT formation energy: 0.128 eV/atom
total DFT energy (no corrections): -4.632 eV per atom


(2)
First-principles (PBE-GGA) data for La4Tb2Sm after structural relaxation, as listed in Alexandria via LeMat-Bulk.

Cell: 12.779 12.779 6.924 Å, 96.99 96.99 150.22°
Fractional coordinates of all 14 atoms:
1 La 0.189 0.796 0.911
2 La 0.180 0.717 0.371
3 La 0.559 0.597 0.133
4 La 0.137 0.031 0.089
5 La 0.597 0.559 0.633
6 La 0.031 0.137 0.589
7 La 0.796 0.189 0.411
8 La 0.717 0.180 0.871
9 Tb 0.630 0.314 0.456
10 Tb 0.923 0.107 0.043
11 Tb 0.107 0.923 0.543
12 Tb 0.314 0.630 0.956
13 Sm 0.416 0.666 0.500
14 Sm 0.666 0.416 0.000

spin magnetization: 0.000 μB per atom
energy above the lowest structure with this stoichiometry: 0 kJ/mol of formula units
DFT formation energy: 0.069 eV/atom
total DFT energy (no corrections): -4.743 eV per atom


(3)
First-principles (PBE-GGA) data for La2Tb2Sm after structural relaxation, as listed in Alexandria via LeMat-Bulk.

Cell: 3.563 5.487 9.197 Å, 107.40 90.00 90.00°
Fractional coordinates of all 5 atoms:
1 Tb 0.500 0.601 0.201
2 Tb 0.500 0.399 0.799
3 La 0.000 0.803 0.605
4 La 0.000 0.197 0.395
5 Sm 0.000 0.000 0.000

spin magnetization: 0.000 μB per atom
energy above the lowest structure with this stoichiometry: 0 kJ/mol of formula units
DFT formation energy: 0.068 eV/atom
total DFT energy (no corrections): -4.699 eV per atom


(4)
First-principles (PBE-GGA) data for La5Tb2Sm after structural relaxation, as listed in Alexandria via LeMat-Bulk.

Cell: 10.239 6.767 10.956 Å, 117.40 117.86 90.00°
Fractional coordinates of all 16 atoms:
1 La 0.686 0.028 0.184
2 La 0.878 0.614 0.587
3 La 0.062 0.250 0.000
4 La 0.291 0.886 0.413
5 La 0.122 0.386 0.413
6 La 0.498 0.528 0.184
7 La 0.709 0.114 0.587
8 La 0.938 0.750 0.000
9 La 0.502 0.472 0.816
10 La 0.314 0.972 0.816
11 Sm 0.500 0.500 0.500
12 Sm 0.000 0.000 0.500
13 Tb 0.341 0.015 0.167
14 Tb 0.175 0.485 0.833
15 Tb 0.659 0.985 0.833
16 Tb 0.825 0.515 0.167

spin magnetization: 0.000 μB per atom
energy above the lowest structure with this stoichiometry: 2 kJ/mol of formula units
DFT formation energy: 0.127 eV/atom
total DFT energy (no corrections): -4.700 eV per atom


(5)
First-principles (PBE-GGA) data for La2Tb3Sm3 after structural relaxation, as listed in Alexandria via LeMat-Bulk.

Cell: 5.149 5.149 10.865 Å, 103.73 103.71 90.00°
Fractional coordinates of all 8 atoms:
1 La 0.250 0.750 0.500
2 La 0.750 0.250 0.500
3 Sm 0.622 0.622 0.245
4 Sm 0.378 0.378 0.755
5 Sm 0.500 0.000 0.000
6 Tb 0.000 0.500 0.000
7 Tb 0.122 0.122 0.245
8 Tb 0.878 0.878 0.755

spin magnetization: 0.000 μB per atom
energy above the lowest structure with this stoichiometry: 0 kJ/mol of formula units
DFT formation energy: 0.021 eV/atom
total DFT energy (no corrections): -4.717 eV per atom


(6)
First-principles (PBE-GGA) data for La2Tb2Sm after structural relaxation, as listed in Alexandria via LeMat-Bulk.

Cell: 10.654 10.653 8.191 Å, 130.56 130.57 90.00°
Fractional coordinates of all 10 atoms:
1 Tb 0.311 0.811 0.000
2 Tb 0.189 0.311 0.000
3 Tb 0.689 0.189 0.000
4 Tb 0.811 0.689 0.000
5 La 0.890 0.390 0.000
6 La 0.110 0.610 0.000
7 La 0.610 0.890 0.000
8 La 0.390 0.110 0.000
9 Sm 0.250 0.250 0.500
10 Sm 0.750 0.750 0.500

spin magnetization: 0.000 μB per atom
energy above the lowest structure with this stoichiometry: 186 kJ/mol of formula units
DFT formation energy: 0.453 eV/atom
total DFT energy (no corrections): -4.314 eV per atom


The highest DFT formation energy belongs to which entry? number 6


Repeat the sixth record exactly.
First-principles (PBE-GGA) data for La2Tb2Sm after structural relaxation, as listed in Alexandria via LeMat-Bulk.

Cell: 10.654 10.653 8.191 Å, 130.56 130.57 90.00°
Fractional coordinates of all 10 atoms:
1 Tb 0.311 0.811 0.000
2 Tb 0.189 0.311 0.000
3 Tb 0.689 0.189 0.000
4 Tb 0.811 0.689 0.000
5 La 0.890 0.390 0.000
6 La 0.110 0.610 0.000
7 La 0.610 0.890 0.000
8 La 0.390 0.110 0.000
9 Sm 0.250 0.250 0.500
10 Sm 0.750 0.750 0.500

spin magnetization: 0.000 μB per atom
energy above the lowest structure with this stoichiometry: 186 kJ/mol of formula units
DFT formation energy: 0.453 eV/atom
total DFT energy (no corrections): -4.314 eV per atom